# CsSn2Sb PBE relaxed
data_CsSn2Sb
_symmetry_space_group_name_H-M 'P 1 m 1'
_symmetry_Int_Tables_number 6
_symmetry_space_group_name_Hall 'P -2y'
_cell_length_a 4.950
_cell_length_b 4.287
_cell_length_c 7.443
_cell_angle_alpha 90.00
_cell_angle_beta 90.95
_cell_angle_gamma 90.00
loop_
_atom_site_label
_atom_site_type_symbol
_atom_site_fract_x
_atom_site_fract_y
_atom_site_fract_z
Cs1 Cs 0.000 0.000 0.000
Sn1 Sn 0.485 0.000 0.577
Sn2 Sn 0.506 0.500 0.284
Sb1 Sb 0.012 0.500 0.521
# - Energy relative to the elements, uncorrected: -0.171 eV per atom
# - Size of the total moment: 0.00 μB per cell